{
  "formula": "TmCdCuS3",
  "functional": "GGA-PBE",
  "state": "relaxed",
  "final_energy_ev_per_atom": -4.60,
  "space_group": "No. 11",
  "lattice_angstrom": [[7.390, 0.000, 0.000], [0.000, 3.785, 0.000], [-1.705, 0.000, 8.682]],
  "species": ["Tm", "Tm", "S", "S", "S", "S", "S", "S", "Cu", "Cu", "Cd", "Cd"],
  "fractional_positions": [[0.184, 0.250, 0.173], [0.816, 0.750, 0.827], [0.432, 0.750, 0.162], [0.568, 0.250, 0.838], [0.244, 0.250, 0.481], [0.088, 0.250, 0.853], [0.912, 0.750, 0.147], [0.756, 0.750, 0.519], [0.409, 0.750, 0.422], [0.591, 0.250, 0.578], [0.284, 0.750, 0.724], [0.716, 0.250, 0.276]]
}

{
  "formula": "Cu2SnHgTe2S2",
  "functional": "GGA-PBE",
  "state": "relaxed",
  "final_energy_ev_per_atom": -3.49,
  "space_group": "No. 5",
  "lattice_angstrom": [[-0.117, 6.489, 3.077], [-3.936, 2.574, 5.429], [4.589, -3.416, 1.763]],
  "species": ["Cu", "Cu", "Te", "Te", "Sn", "Hg", "S", "S"],
  "fractional_positions": [[0.755, 0.744, 0.302], [0.256, 0.245, 0.698], [0.596, 0.108, 0.109], [0.892, 0.404, 0.891], [0.469, 0.531, 0.500], [0.022, 0.978, 0.000], [0.395, 0.884, 0.395], [0.116, 0.605, 0.605]]
}

{
  "formula": "LuInFeSe3",
  "functional": "GGA-PBE",
  "state": "relaxed",
  "final_energy_ev_per_atom": -5.20,
  "space_group": "No. 63",
  "lattice_angstrom": [[-5.273, -2.946, -4.714], [-4.969, -5.584, -1.684], [-7.547, 5.139, 5.230]],
  "species": ["Fe", "Fe", "In", "In", "Se", "Se", "Se", "Se", "Se", "Se", "Lu", "Lu"],
  "fractional_positions": [[0.471, 0.471, 0.250], [0.529, 0.529, 0.750], [0.756, 0.756, 0.250], [0.244, 0.244, 0.750], [0.626, 0.626, 0.564], [0.070, 0.070, 0.250], [0.374, 0.374, 0.064], [0.374, 0.374, 0.436], [0.626, 0.626, 0.936], [0.930, 0.930, 0.750], [0.000, 0.000, 0.000], [0.000, 0.000, 0.500]]
}

{
  "formula": "Ho3Nb3Re2N12",
  "functional": "GGA-PBE",
  "state": "relaxed",
  "final_energy_ev_per_atom": -9.14,
  "space_group": "No. 230",
  "lattice_angstrom": [[-6.373, 6.373, 6.373], [6.373, -6.373, 6.373], [6.373, 6.373, -6.373]],
  "species": ["Re", "Re", "Re", "Re", "Re", "Re", "Re", "Re", "N", "N", "N", "N", "N", "N", "N", "N", "N", "N", "N", "N", "N", "N", "N", "N", "N", "N", "N", "N", "N", "N", "N", "N", "N", "N", "N", "N", "N", "N", "N", "N", "N", "N", "N", "N", "N", "N", "N", "N", "N", "N", "N", "N", "N", "N", "N", "N", "Ho", "Ho", "Ho", "Ho", "Ho", "Ho", "Ho", "Ho", "Ho", "Ho", "Ho", "Ho", "Nb", "Nb", "Nb", "Nb", "Nb", "Nb", "Nb", "Nb", "Nb", "Nb", "Nb", "Nb"],
  "fractional_positions": [[0.500, 0.500, 0.000], [0.000, 0.500, 0.500], [0.000, 0.000, 0.500], [0.500, 0.000, 0.000], [0.500, 0.000, 0.500], [0.500, 0.500, 0.500], [0.000, 0.000, 0.000], [0.000, 0.500, 0.000], [0.917, 0.117, 0.591], [0.525, 0.617, 0.700], [0.883, 0.975, 0.800], [0.083, 0.700, 0.674], [0.174, 0.200, 0.583], [0.409, 0.083, 0.883], [0.617, 0.700, 0.525], [0.091, 0.617, 0.417], [0.700, 0.525, 0.617], [0.826, 0.525, 0.409], [0.674, 0.083, 0.700], [0.417, 0.826, 0.800], [0.674, 0.091, 0.975], [0.909, 0.025, 0.326], [0.417, 0.091, 0.617], [0.025, 0.326, 0.909], [0.617, 0.417, 0.091], [0.975, 0.800, 0.883], [0.917, 0.300, 0.326], [0.583, 0.909, 0.383], [0.083, 0.883, 0.409], [0.525, 0.409, 0.826], [0.700, 0.674, 0.083], [0.909, 0.383, 0.583], [0.800, 0.417, 0.826], [0.475, 0.383, 0.300], [0.117, 0.591, 0.917], [0.300, 0.326, 0.917], [0.583, 0.174, 0.200], [0.117, 0.025, 0.200], [0.975, 0.674, 0.091], [0.326, 0.917, 0.300], [0.025, 0.200, 0.117], [0.591, 0.917, 0.117], [0.200, 0.117, 0.025], [0.383, 0.583, 0.909], [0.200, 0.583, 0.174], [0.326, 0.909, 0.025], [0.300, 0.475, 0.383], [0.883, 0.409, 0.083], [0.826, 0.800, 0.417], [0.800, 0.883, 0.975], [0.383, 0.300, 0.475], [0.091, 0.975, 0.674], [0.591, 0.174, 0.475], [0.475, 0.591, 0.174], [0.174, 0.475, 0.591], [0.409, 0.826, 0.525], [0.625, 0.250, 0.875], [0.625, 0.875, 0.750], [0.875, 0.625, 0.250], [0.875, 0.750, 0.625], [0.250, 0.375, 0.125], [0.250, 0.875, 0.625], [0.125, 0.375, 0.750], [0.375, 0.750, 0.125], [0.125, 0.250, 0.375], [0.750, 0.125, 0.375], [0.750, 0.625, 0.875], [0.375, 0.125, 0.250], [0.125, 0.875, 0.250], [0.625, 0.750, 0.375], [0.375, 0.250, 0.625], [0.625, 0.375, 0.250], [0.125, 0.750, 0.875], [0.875, 0.125, 0.750], [0.375, 0.625, 0.750], [0.875, 0.250, 0.125], [0.250, 0.125, 0.875], [0.250, 0.625, 0.375], [0.750, 0.875, 0.125], [0.750, 0.375, 0.625]]
}

{
  "formula": "Dy2YNi9",
  "functional": "GGA-PBE",
  "state": "relaxed",
  "final_energy_ev_per_atom": -5.90,
  "space_group": "No. 166",
  "lattice_angstrom": [[2.474, 1.428, 8.119], [-2.474, 1.428, 8.119], [0.000, -2.857, 8.119]],
  "species": ["Ni", "Ni", "Ni", "Ni", "Ni", "Ni", "Ni", "Ni", "Ni", "Dy", "Dy", "Y"],
  "fractional_positions": [[0.081, 0.582, 0.582], [0.418, 0.418, 0.919], [0.582, 0.582, 0.081], [0.667, 0.667, 0.667], [0.333, 0.333, 0.333], [0.500, 0.500, 0.500], [0.919, 0.418, 0.418], [0.418, 0.919, 0.418], [0.582, 0.081, 0.582], [0.139, 0.139, 0.139], [0.861, 0.861, 0.861], [0.000, 0.000, 0.000]]
}

{
  "formula": "Hf4CoBi",
  "functional": "GGA-PBE",
  "state": "relaxed",
  "final_energy_ev_per_atom": -8.54,
  "space_group": "No. 97",
  "lattice_angstrom": [[-3.400, 3.400, 2.681], [3.400, -3.400, 2.681], [3.400, 3.400, -2.681]],
  "species": ["Hf", "Hf", "Hf", "Hf", "Bi", "Co"],
  "fractional_positions": [[0.403, 0.903, 0.806], [0.597, 0.403, 0.500], [0.097, 0.597, 0.194], [0.903, 0.097, 0.500], [0.000, 0.000, 0.000], [0.500, 0.500, 0.000]]
}

{
  "formula": "LiLuPO",
  "functional": "GGA-PBE",
  "state": "relaxed",
  "final_energy_ev_per_atom": -5.61,
  "space_group": "No. 129",
  "lattice_angstrom": [[-0.146, 4.499, -3.035], [-4.783, 1.328, 2.199], [2.110, 2.249, 3.232]],
  "species": ["Lu", "Lu", "P", "P", "O", "O", "Li", "Li"],
  "fractional_positions": [[0.250, 0.750, 0.500], [0.750, 0.250, 0.500], [0.750, 0.750, 0.504], [0.250, 0.250, 0.496], [0.750, 0.250, 0.000], [0.250, 0.750, 0.000], [0.750, 0.750, 0.004], [0.250, 0.250, 0.996]]
}

{
  "formula": "CsDy5Te8",
  "functional": "GGA-PBE",
  "state": "relaxed",
  "final_energy_ev_per_atom": -4.90,
  "space_group": "No. 12",
  "lattice_angstrom": [[10.816, -2.197, 0.000], [10.816, 2.197, 0.000], [-9.937, 0.000, 11.107]],
  "species": ["Te", "Te", "Te", "Te", "Te", "Te", "Te", "Te", "Dy", "Dy", "Dy", "Dy", "Dy", "Cs"],
  "fractional_positions": [[0.634, 0.634, 0.595], [0.366, 0.366, 0.405], [0.339, 0.339, 0.675], [0.699, 0.699, 0.069], [0.661, 0.661, 0.325], [0.039, 0.039, 0.737], [0.301, 0.301, 0.931], [0.961, 0.961, 0.263], [0.847, 0.847, 0.543], [0.674, 0.674, 0.843], [0.326, 0.326, 0.157], [0.000, 0.000, 0.500], [0.153, 0.153, 0.457], [0.000, 0.000, 0.000]]
}

Number 1: density 6.0 g/cm³. Number 2: density 6.1 g/cm³. Number 3: density 6.2 g/cm³. Number 4: density 8.4 g/cm³. Number 5: density 9.1 g/cm³. Number 6: density 13.2 g/cm³. Number 7: density 5.8 g/cm³. Number 8: density 6.2 g/cm³.